The following is a PBE calculation of CaHfH3 after structural relaxation, from Alexandria.

```
5
Lattice="3.942 0.000 0.000 0.000 3.942 0.000 0.000 0.000 3.942" Properties=species:S:1:pos:R:3 pbc="T T T"
Ca 0.000 0.000 0.000
Hf 1.971 1.971 1.971
H 0.000 1.971 1.971
H 1.971 0.000 1.971
H 1.971 1.971 0.000
```

## Properties
Offset from the most stable computed form in eV per atom: 0.0000
N(E_F) in states/eV per atom: 0.615
Crystal system: cubic
Space group: No. 221
Calculated density in g/cm3: 6.01

***

The following is a PBE calculation of Pu2RuAu after structural relaxation, from Alexandria.

```
4
Lattice="3.276 0.000 0.000 0.000 3.276 0.000 0.000 0.000 7.961" Properties=species:S:1:pos:R:3 pbc="T T T"
Pu 0.000 0.000 1.781
Pu 0.000 0.000 6.180
Ru 1.638 1.638 0.000
Au 1.638 1.638 3.981
```

## Properties
Formation enthalpy at 0 K in eV per atom: -0.308
N(E_F) in states/eV per atom: 2.939
Crystal system: tetragonal
Space group: No. 123
Calculated density in g/cm3: 15.28

***

The following is a PBE calculation of TbSmCuSi after structural relaxation, from Alexandria.

```
4
Lattice="0.000 3.536 3.536 3.536 0.000 3.536 3.536 3.536 0.000" Properties=species:S:1:pos:R:3 pbc="T T T"
Tb 0.000 0.000 0.000
Sm 3.536 3.536 3.536
Cu 1.768 1.768 1.768
Si 5.303 5.303 5.303
```

## Properties
Offset from the most stable computed form in eV per atom: 0.0909
Formation energy without anion corrections in eV per atom: -0.41
N(E_F) in states/eV per atom: 0.799
Crystal system: cubic
Space group: No. 216
Calculated density in g/cm3: 7.53

***

The following is a PBE calculation of CsSrH2I after structural relaxation, from Alexandria.

```
5
Lattice="5.135 0.000 0.000 0.000 5.135 0.000 0.000 0.000 6.581" Properties=species:S:1:pos:R:3 pbc="T T T"
Cs 0.000 0.000 0.000
Sr 2.567 2.567 3.291
H 0.000 2.567 3.291
H 2.567 0.000 3.291
I 2.567 2.567 0.000
```

## Properties
N(E_F) in states/eV per atom: 0.000
Crystal system: tetragonal
Space group: No. 123
Calculated density in g/cm3: 3.34
Calculated total energy in eV per atom: -2.874

***

The following is a PBE calculation of K2CdGeBr6 after structural relaxation, from Alexandria.

```
10
Lattice="7.771 0.000 0.000 -3.883 6.739 0.000 -3.881 -2.246 6.373" Properties=species:S:1:pos:R:3 pbc="T T T"
K 0.000 0.000 0.000
K -3.885 2.247 3.208
Cd 0.007 -0.003 4.381
Ge 0.004 4.487 1.192
Br -2.280 0.593 5.832
Br -0.604 2.217 2.654
Br 2.224 -0.581 2.655
Br -3.254 4.460 5.837
Br 1.656 1.681 5.841
Br 2.274 5.102 2.653
```

## Properties
Formation energy without anion corrections in eV per atom: -1.11
N(E_F) in states/eV per atom: 0.000
Crystal system: triclinic
Space group: No. 1
Calculated density in g/cm3: 3.69

***

The following is a PBE calculation of PmNpTl2O6 after structural relaxation, from Alexandria.

```
10
Lattice="5.389 -3.111 0.000 5.389 3.111 0.000 -3.593 0.000 5.082" Properties=species:S:1:pos:R:3 pbc="T T T"
Pm 0.000 0.000 0.000
Np 3.592 0.000 2.541
Tl 0.000 0.000 3.811
Tl 7.185 0.000 1.271
O 2.744 1.442 3.706
O 1.943 0.000 1.342
O 4.440 1.442 1.375
O 2.744 -1.442 3.706
O 5.241 0.000 3.739
O 4.440 -1.442 1.375
```

## Properties
Formation energy without anion corrections in eV per atom: -2.25
Crystal system: monoclinic
Space group: No. 12
Calculated density in g/cm3: 8.64

***

The following is a PBE calculation of Pm2Y2Se3S2 after structural relaxation, from Alexandria.

```
9
Lattice="-2.817 2.817 7.203 2.817 -2.817 7.203 2.817 2.817 -7.203" Properties=species:S:1:pos:R:3 pbc="T T T"
Pm 0.000 0.000 3.059
Pm 0.000 0.000 11.348
Y 2.817 0.000 0.000
Y 0.000 2.817 0.000
Se 0.000 0.000 0.000
Se 2.817 0.000 3.602
Se 0.000 2.817 3.602
S 0.000 0.000 5.798
S 0.000 0.000 8.608
```

## Properties
Formation energy without anion corrections in eV per atom: -1.57
N(E_F) in states/eV per atom: 0.632
Crystal system: tetragonal
Space group: No. 139
Calculated density in g/cm3: 5.59

***

The following is a PBE calculation of ThZnNi3 after structural relaxation, from Alexandria.

```
10
Lattice="5.295 0.000 0.000 0.000 6.725 0.000 0.000 0.000 4.787" Properties=species:S:1:pos:R:3 pbc="T T T"
Th 0.000 0.000 0.000
Th 2.648 3.362 0.000
Zn 0.000 3.362 2.393
Zn 2.648 0.000 2.393
Ni 0.000 3.362 0.000
Ni 0.582 1.142 2.393
Ni 2.066 4.505 2.393
Ni 2.648 0.000 0.000
Ni 3.230 2.220 2.393
Ni 4.713 5.583 2.393
```

## Properties
Formation enthalpy at 0 K in eV per atom: -0.002
N(E_F) in states/eV per atom: 0.593
Crystal system: orthorhombic
Space group: No. 55
Calculated density in g/cm3: 9.23